No. 1
# PmTlZn2 (PBE, optimized geometry)
data_PmTlZn2
_chemical_formula_sum 'Pm1 Tl1 Zn2'
_space_group_name_H-M_alt 'P 1'
_space_group_IT_number 1
_cell_length_a 4.241
_cell_length_b 4.639
_cell_length_c 4.639
_cell_angle_alpha 90.00
_cell_angle_beta 90.00
_cell_angle_gamma 90.00
loop_
_space_group_symop_operation_xyz
'x,y,z'
loop_
_atom_site_label
_atom_site_type_symbol
_atom_site_fract_x
_atom_site_fract_y
_atom_site_fract_z
Tl1 Tl 0.500 0.000 0.000
Zn1 Zn 0.000 0.000 0.500
Zn2 Zn 0.000 0.500 0.000
Pm1 Pm 0.500 0.500 0.500
# - formation enthalpy at 0 K (meV per atom) = -213.1
# - calculated volume (Å³ per atom) = 22.822
# - E (eV per atom) = -2.6293

=====

No. 2
# TbPr7Tm4 (PBE, optimized geometry)
data_TbPr7Tm4
_chemical_formula_sum 'Tb1 Pr7 Tm4'
_space_group_name_H-M_alt 'P 1'
_space_group_IT_number 1
_cell_length_a 6.030
_cell_length_b 9.716
_cell_length_c 8.649
_cell_angle_alpha 62.33
_cell_angle_beta 69.60
_cell_angle_gamma 71.92
loop_
_space_group_symop_operation_xyz
'x,y,z'
loop_
_atom_site_label
_atom_site_type_symbol
_atom_site_fract_x
_atom_site_fract_y
_atom_site_fract_z
Tb1 Tb 0.000 0.000 0.000
Pr1 Pr 0.787 0.890 0.536
Pr2 Pr 0.213 0.110 0.464
Pr3 Pr 0.089 0.545 0.278
Pr4 Pr 0.911 0.455 0.722
Pr5 Pr 0.220 0.749 0.811
Pr6 Pr 0.500 0.000 0.000
Pr7 Pr 0.780 0.251 0.189
Tm1 Tm 0.567 0.300 0.566
Tm2 Tm 0.433 0.700 0.434
Tm3 Tm 0.667 0.630 0.036
Tm4 Tm 0.333 0.370 0.964
# - formation enthalpy at 0 K (meV per atom) = 210.9
# - calculated volume (Å³ per atom) = 34.487
# - energy relative to the lowest polymorph listed for this composition (eV/atom) = 0.2037
# - E (eV per atom) = -4.4535

=====

No. 3
# TaIn2Fe (PBE, optimized geometry)
data_TaIn2Fe
_chemical_formula_sum 'Ta1 In2 Fe1'
_space_group_name_H-M_alt 'P 1'
_space_group_IT_number 1
_cell_length_a 5.319
_cell_length_b 5.319
_cell_length_c 5.319
_cell_angle_alpha 134.75
_cell_angle_beta 134.75
_cell_angle_gamma 65.91
loop_
_space_group_symop_operation_xyz
'x,y,z'
loop_
_atom_site_label
_atom_site_type_symbol
_atom_site_fract_x
_atom_site_fract_y
_atom_site_fract_z
Fe1 Fe 0.750 0.250 0.500
In1 In 0.000 0.000 0.000
In2 In 0.500 0.500 0.000
Ta1 Ta 0.250 0.750 0.500
# - formation enthalpy at 0 K (meV per atom) = 387.5
# - calculated volume (Å³ per atom) = 18.681
# - energy relative to the lowest polymorph listed for this composition (eV/atom) = 0.2849
# - E (eV per atom) = -6.0606

=====

No. 4
# TaOs (PBE, optimized geometry)
data_TaOs
_chemical_formula_sum 'Ta1 Os1'
_space_group_name_H-M_alt 'P 1'
_space_group_IT_number 1
_cell_length_a 4.769
_cell_length_b 4.769
_cell_length_c 4.769
_cell_angle_alpha 35.44
_cell_angle_beta 35.44
_cell_angle_gamma 35.44
loop_
_space_group_symop_operation_xyz
'x,y,z'
loop_
_atom_site_label
_atom_site_type_symbol
_atom_site_fract_x
_atom_site_fract_y
_atom_site_fract_z
Os1 Os 0.000 0.000 0.000
Ta1 Ta 0.500 0.500 0.500
# - formation enthalpy at 0 K (meV per atom) = 21.0
# - calculated volume (Å³ per atom) = 16.292
# - E (eV per atom) = -11.5202

=====

No. 5
# TbScSi (PBE, optimized geometry)
data_TbScSi
_chemical_formula_sum 'Tb6 Sc6 Si6'
_space_group_name_H-M_alt 'P 1'
_space_group_IT_number 1
_cell_length_a 7.548
_cell_length_b 8.247
_cell_length_c 8.603
_cell_angle_alpha 118.64
_cell_angle_beta 116.02
_cell_angle_gamma 90.00
loop_
_space_group_symop_operation_xyz
'x,y,z'
loop_
_atom_site_label
_atom_site_type_symbol
_atom_site_fract_x
_atom_site_fract_y
_atom_site_fract_z
Tb1 Tb 0.753 0.049 0.599
Tb2 Tb 0.155 0.951 0.401
Tb3 Tb 0.352 0.750 0.000
Tb4 Tb 0.352 0.250 0.000
Tb5 Tb 0.155 0.451 0.401
Tb6 Tb 0.753 0.549 0.599
Sc1 Sc 0.011 0.000 0.000
Sc2 Sc 0.011 0.500 0.000
Sc3 Sc 0.496 0.371 0.743
Sc4 Sc 0.753 0.629 0.257
Sc5 Sc 0.753 0.129 0.257
Sc6 Sc 0.496 0.871 0.743
Si1 Si 0.753 0.250 0.000
Si2 Si 0.753 0.750 0.000
Si3 Si 0.420 0.167 0.333
Si4 Si 0.087 0.833 0.667
Si5 Si 0.087 0.333 0.667
Si6 Si 0.420 0.667 0.333
# - raw formation energy (eV per atom) = -0.6348
# - calculated volume (Å³ per atom) = 22.612
# - energy relative to the lowest polymorph listed for this composition (eV/atom) = 0.0000
# - E (eV per atom) = -6.0964

=====

No. 6
# SrLiInAg2 (PBE, optimized geometry)
data_SrLiInAg2
_chemical_formula_sum 'Sr1 Li1 In1 Ag2'
_space_group_name_H-M_alt 'P 1'
_space_group_IT_number 1
_cell_length_a 4.358
_cell_length_b 4.358
_cell_length_c 7.174
_cell_angle_alpha 107.68
_cell_angle_beta 107.68
_cell_angle_gamma 90.00
loop_
_space_group_symop_operation_xyz
'x,y,z'
loop_
_atom_site_label
_atom_site_type_symbol
_atom_site_fract_x
_atom_site_fract_y
_atom_site_fract_z
Sr1 Sr 0.000 0.000 0.000
Li1 Li 0.750 0.250 0.500
In1 In 0.250 0.750 0.500
Ag1 Ag 0.608 0.608 0.217
Ag2 Ag 0.392 0.392 0.783
# - formation enthalpy at 0 K (meV per atom) = -288.2
# - calculated volume (Å³ per atom) = 24.609
# - E (eV per atom) = -2.6955

=====

No. 7
# CsZrZn2 (PBE, optimized geometry)
data_CsZrZn2
_chemical_formula_sum 'Cs1 Zr1 Zn2'
_space_group_name_H-M_alt 'P 1'
_space_group_IT_number 1
_cell_length_a 5.346
_cell_length_b 5.346
_cell_length_c 5.346
_cell_angle_alpha 60.00
_cell_angle_beta 60.00
_cell_angle_gamma 60.00
loop_
_space_group_symop_operation_xyz
'x,y,z'
loop_
_atom_site_label
_atom_site_type_symbol
_atom_site_fract_x
_atom_site_fract_y
_atom_site_fract_z
Cs1 Cs 0.500 0.500 0.500
Zn1 Zn 0.250 0.250 0.250
Zn2 Zn 0.750 0.750 0.750
Zr1 Zr 0.000 0.000 0.000
# - formation enthalpy at 0 K (meV per atom) = 787.6
# - calculated volume (Å³ per atom) = 27.003
# - E (eV per atom) = -2.1998

=====

No. 8
# CePuTl (PBE, optimized geometry)
data_CePuTl
_chemical_formula_sum 'Ce1 Pu1 Tl1'
_space_group_name_H-M_alt 'P 1'
_space_group_IT_number 1
_cell_length_a 3.634
_cell_length_b 3.518
_cell_length_c 7.440
_cell_angle_alpha 82.77
_cell_angle_beta 90.06
_cell_angle_gamma 121.13
loop_
_space_group_symop_operation_xyz
'x,y,z'
loop_
_atom_site_label
_atom_site_type_symbol
_atom_site_fract_x
_atom_site_fract_y
_atom_site_fract_z
Ce1 Ce 0.464 0.588 0.715
Pu1 Pu 0.905 0.467 0.979
Tl1 Tl 0.179 0.016 0.343
# - formation enthalpy at 0 K (meV per atom) = 23.9
# - calculated volume (Å³ per atom) = 26.845
# - energy relative to the lowest polymorph listed for this composition (eV/atom) = 0.0981
# - E (eV per atom) = -7.5201

=====

Question: Among the records above, which one has the lowest calculated volume?
Answer: TaOs

=====

Question: calculated volume of number 7 (CsZrZn2)?
Answer: 27.003 Å³ per atom

=====

Question: What is the formula in the third record?
Answer: TaIn2Fe